{"formula": "NdMn4Cu3O12", "functional": "PBE with a Hubbard U", "state": "optimized geometry", "energy_ev_per_atom": -6.7431, "total_magnetization_mub_per_fu": 14.52, "space_group": "Im-3", "cell": [[-5.6773, -1.3195, 2.7740], [3.6429, -5.3282, -0.0857], [3.0153, 4.6143, 3.3592]], "species": ["Nd", "Mn", "Mn", "Mn", "Mn", "Cu", "Cu", "Cu", "O", "O", "O", "O", "O", "O", "O", "O", "O", "O", "O", "O"], "fractional_positions": [[0.0000, 0.0000, 0.0000], [0.5000, 0.5000, 0.5000], [0.5000, 0.0000, 0.0000], [0.0000, 0.5000, 0.0000], [0.0000, 0.0000, 0.5000], [0.5000, 0.5000, 0.0000], [0.5000, 0.0000, 0.5000], [0.0000, 0.5000, 0.5000], [0.8294, 0.6938, 0.5232], [0.1706, 0.3062, 0.4768], [0.1706, 0.6938, 0.8644], [0.8294, 0.3062, 0.1356], [0.6938, 0.5232, 0.8294], [0.3062, 0.4768, 0.1706], [0.6938, 0.8644, 0.1706], [0.3062, 0.1356, 0.8294], [0.5232, 0.8294, 0.6938], [0.4768, 0.1706, 0.3062], [0.1356, 0.8294, 0.3062], [0.8644, 0.1706, 0.6938]]}